[1]
The following is a SCAN calculation of SrAgCl2 at its PBEsol-relaxed geometry, from the Alexandria database.

uncorrected formation energy: -1.37 eV per atom
D(E_F): 1.094 states/eV/f.u.
final energy: -75.10 eV/cell
size of the total moment: 0.000 μB per atom

Geometry as POSCAR:
```
SrAgCl2
1.0
-2.6944 -3.8062 -0.8040
3.1609 -2.2522 0.0692
-0.5496 -0.5969 4.6672
Cl Ag Sr
2 1 1
direct
0.0000 0.0000 0.0000
0.5000 0.0000 0.5000
0.0000 0.5000 0.5000
0.5000 0.5000 0.0000
```



[2]
The following is a SCAN calculation of NbCu3Pd at its PBEsol-relaxed geometry, from the Alexandria database.

D(E_F): 7.319 states/eV/f.u.
energy of formation from the pure elements: 1685 meV/atom
final energy: -103.08 eV/cell
size of the total moment: 0.000 μB per atom

Geometry as POSCAR:
```
NbCu3Pd
1.0
4.5918 0.0000 0.0000
0.0000 4.5918 0.0000
0.0000 0.0000 4.5918
Cu Nb Pd
3 1 1
direct
0.0000 0.5000 0.0000
0.5000 0.0000 0.0000
0.0000 0.0000 0.5000
0.0000 0.0000 0.0000
0.5000 0.5000 0.5000
```



[3]
The following is a SCAN calculation of CdCo2W at its PBEsol-relaxed geometry, from the Alexandria database.

D(E_F): 3.871 states/eV/f.u.
energy of formation from the pure elements: 505 meV/atom
final energy: -132.69 eV/cell
size of the total moment: 0.638 μB per atom

Geometry as POSCAR:
```
CdCo2W
1.0
2.7031 0.0000 0.0000
0.0000 4.0958 0.0000
-1.3516 0.0000 4.8555
Co W Cd
2 1 1
direct
0.8181 0.0000 0.6362
0.6822 0.5000 0.3644
0.0939 0.0000 0.1879
0.4183 0.5000 0.8366
```